Pm2SmDyIn4: optimized geometry, PBE.

Energy of formation ... -0.487 eV per atom
Density of states at the Fermi level ... 3.349 states/eV/f.u.
Uncorrected energy ... -33.67 eV per formula unit

Cell: 5.4002 5.4002 9.3702 Å, 73.25 73.25 60.00°
Last column: nearest neighbours and their distance in Å.
Element x y z (fractional)
In (0.6242, 0.6242, 0.1274)  1 Dy 3.29, 4 Pm 3.30-3.34, 3 Sm 3.31
In (0.8743, 0.8743, 0.3771)  4 Pm 3.29-3.31, 3 Dy 3.30, 1 Sm 3.33
In (0.1257, 0.1257, 0.6229)  4 Pm 3.29-3.31, 3 Dy 3.30, 1 Sm 3.33
In (0.3758, 0.3758, 0.8726)  1 Dy 3.29, 4 Pm 3.30-3.34, 3 Sm 3.31
Dy (0.5000, 0.5000, 0.5000)  8 In 3.29-3.30
Pm (0.7503, 0.7503, 0.7491)  8 In 3.29-3.34
Pm (0.2497, 0.2497, 0.2509)  8 In 3.29-3.34
Sm (0.0000, 0.0000, 0.0000)  8 In 3.31-3.33